(1)
{"formula": "Na6Te2O", "functional": "PBE", "state": "relaxed", "formation_energy_uncorrected_ev_per_atom": -1.004, "dft_energy_ev_per_atom": -3.13, "relative_energy_mev_per_atom": 0, "lattice_angstrom": [[6.888, 0.000, 0.000], [-3.444, 5.965, 0.000], [0.000, 0.000, 5.244]], "species": ["Na", "Na", "Na", "Na", "Na", "Na", "Te", "Te", "O"], "frac_coords": [[0.167, 0.333, 0.280], [0.167, 0.833, 0.280], [0.333, 0.167, 0.720], [0.667, 0.833, 0.280], [0.833, 0.167, 0.720], [0.833, 0.667, 0.720], [0.333, 0.667, 0.780], [0.667, 0.333, 0.220], [0.000, 0.000, 0.500]]}


(2)
{"formula": "NaTeO3", "functional": "PBE", "state": "relaxed", "formation_energy_uncorrected_ev_per_atom": -1.164, "dft_energy_ev_per_atom": -5.03, "n_ef_per_ev_cell": 0.70, "lattice_angstrom": [[4.026, 0.000, 0.000], [0.000, 4.026, 0.000], [0.000, 0.000, 4.026]], "species": ["Na", "Te", "O", "O", "O"], "frac_coords": [[0.000, 0.000, 0.000], [0.500, 0.500, 0.500], [0.000, 0.500, 0.500], [0.500, 0.000, 0.500], [0.500, 0.500, 0.000]]}


(3)
{"formula": "Na3TeO", "functional": "PBE", "state": "relaxed", "formation_energy_uncorrected_ev_per_atom": -0.264, "dft_energy_ev_per_atom": -2.68, "relative_energy_mev_per_atom": 679, "n_ef_per_ev_cell": 9.73, "lattice_angstrom": [[5.794, 0.000, 0.000], [0.000, 5.794, 0.000], [0.000, 0.000, 5.794]], "species": ["Na", "Na", "Na", "Te", "O"], "frac_coords": [[0.000, 0.000, 0.500], [0.000, 0.500, 0.000], [0.500, 0.000, 0.000], [0.000, 0.000, 0.000], [0.500, 0.500, 0.500]]}


(4)
{"formula": "NaTeO3", "functional": "PBE", "state": "relaxed", "formation_energy_uncorrected_ev_per_atom": -1.127, "dft_energy_ev_per_atom": -4.99, "n_ef_per_ev_cell": 1.25, "lattice_angstrom": [[6.097, 0.000, 0.000], [0.000, 3.340, 0.000], [-2.539, 0.000, 8.289]], "species": ["Na", "Na", "Te", "Te", "O", "O", "O", "O", "O", "O"], "frac_coords": [[0.076, 0.250, 0.356], [0.924, 0.750, 0.644], [0.451, 0.250, 0.809], [0.549, 0.750, 0.191], [0.182, 0.250, 0.637], [0.325, 0.750, 0.917], [0.387, 0.250, 0.252], [0.613, 0.750, 0.748], [0.675, 0.250, 0.083], [0.818, 0.750, 0.363]]}


(5)
{"formula": "Na3TeO", "functional": "PBE", "state": "relaxed", "formation_energy_uncorrected_ev_per_atom": -0.943, "dft_energy_ev_per_atom": -3.35, "relative_energy_mev_per_atom": 0, "n_ef_per_ev_cell": 6.43, "lattice_angstrom": [[4.730, 0.000, 0.000], [0.000, 4.730, 0.000], [0.000, 0.000, 4.730]], "species": ["Na", "Na", "Na", "Te", "O"], "frac_coords": [[0.000, 0.000, 0.500], [0.000, 0.500, 0.000], [0.500, 0.000, 0.000], [0.500, 0.500, 0.500], [0.000, 0.000, 0.000]]}


(6)
{"formula": "NaTeO2", "functional": "PBE", "state": "relaxed", "formation_energy_uncorrected_ev_per_atom": -0.423, "dft_energy_ev_per_atom": -4.02, "n_ef_per_ev_cell": 0.99, "lattice_angstrom": [[3.064, 0.000, 0.000], [0.000, 3.064, 0.000], [0.000, 0.000, 6.038]], "species": ["Na", "Te", "O", "O"], "frac_coords": [[0.000, 0.000, 0.000], [0.000, 0.000, 0.500], [0.500, 0.500, 0.284], [0.500, 0.500, 0.716]]}